A relaxed structure of VH10C2O10. Source: Alexandria via LeMat-Bulk, functional PBE with a Hubbard U.

abc: 7.182 8.951 14.008
angles: 90.00 95.58 90.00
Space group P2_1/c (No. 14)
Symmetry-distinct sites (fractional):
V 0.196 0.237 0.011
H 0.121 0.139 0.671
H 0.198 0.546 0.958
H 0.226 0.687 0.312
H 0.255 0.524 0.355
H 0.310 0.025 0.376
H 0.339 0.094 0.658
H 0.402 0.607 0.737
H 0.441 0.688 0.433
H 0.451 0.745 0.545
H 0.479 0.540 0.257
C 0.004 0.693 0.671
C 0.151 0.744 0.605
O 0.046 0.687 0.760
O 0.085 0.716 0.020
O 0.158 0.159 0.872
O 0.180 0.081 0.070
O 0.212 0.116 0.623
O 0.224 0.048 0.425
O 0.321 0.741 0.636
O 0.322 0.616 0.340
O 0.464 0.535 0.784
O 0.481 0.243 0.014

calculated volume	9.74	A^3/atom
D(E_F)	0.000	states/eV per atom
calculated total energy	-544.464	eV per cell
magnetization	1.00	μB per formula unit